Here is a relaxed structure of NbCo2HPt from Alexandria via LeMat-Bulk. Energies are from PBE.

abc: 3.8737 3.8737 3.7378
angles: 90.00 90.00 90.00
Fractional coordinates of all 5 atoms:
Nb 0.0000 0.0000 0.0000
Co 0.0000 0.5000 0.5000
Co 0.5000 0.0000 0.5000
H 0.5000 0.5000 0.5000
Pt 0.5000 0.5000 0.0000

Properties
Spin magnetization (μB per formula unit): 0.00
Offset from the most stable computed form (eV per formula unit): 0.10
D(E_F) (states/eV/f.u.): 0.451